# Sc2Ag3Hg PBE relaxed
# total moment	0.03	Bohr magnetons per cell
# formation energy	-0.1859	eV/atom
# DOS at the Fermi energy	0.793	states/eV/atom
data_Sc2Ag3Hg
_symmetry_space_group_name_H-M 'C 1 2/m 1'
_symmetry_Int_Tables_number 12
_symmetry_space_group_name_Hall '-C 2y'
_cell_length_a 13.8596
_cell_length_b 3.6538
_cell_length_c 10.5604
_cell_angle_alpha 90.00
_cell_angle_beta 116.25
_cell_angle_gamma 90.00
loop_
_atom_site_label
_atom_site_type_symbol
_atom_site_fract_x
_atom_site_fract_y
_atom_site_fract_z
_atom_site_occupancy
Sc1 Sc 0.0490 0.0000 0.3647 1
Sc2 Sc 0.2203 0.0000 0.8660 1
Ag1 Ag 0.0546 0.5000 0.8830 1
Ag2 Ag 0.1129 0.0000 0.1234 1
Ag3 Ag 0.2133 0.5000 0.3735 1
Hg1 Hg 0.1170 0.5000 0.6198 1